(1)
DFT (PBE) results for an optimized crystal structure of Sm3Cd2Ag4.

Cell and atoms, written as POSCAR:
```
Sm3Cd2Ag4
1.0
-1.876 4.371 1.160
-3.629 -4.614 1.182
6.976 1.457 5.790
Cd Sm Ag
2 3 4
direct
0.623 0.247 0.289
0.377 0.753 0.711
0.000 0.000 0.000
0.661 0.323 0.675
0.339 0.677 0.325
0.939 0.879 0.606
0.725 0.449 0.058
0.275 0.551 0.942
0.061 0.121 0.394
```

E, eV/atom: -3.333
Volume, Å³/atom: 23.6
DOS at the Fermi energy, states/eV/cell: 5.87
Total moment, μB/atom: 0.00

=====

(2)
DFT (PBE) results for an optimized crystal structure of Sm6CdAg2.

Cell and atoms, written as POSCAR:
```
Sm6CdAg2
1.0
8.836 0.291 -0.041
-3.078 8.287 0.041
-3.106 -4.137 7.169
Ag Cd Sm
4 2 12
direct
0.355 0.000 0.355
0.500 0.633 0.133
0.645 0.000 0.645
0.500 0.367 0.867
0.000 0.000 0.000
0.000 0.500 0.500
0.091 0.269 0.822
0.278 0.602 0.324
0.800 0.249 0.049
0.447 0.269 0.178
0.200 0.751 0.951
0.200 0.249 0.449
0.800 0.751 0.551
0.553 0.731 0.822
0.278 0.954 0.676
0.909 0.731 0.178
0.722 0.046 0.324
0.722 0.398 0.676
```

E, eV/atom: -4.032
Volume, Å³/atom: 29.5
DOS at the Fermi energy, states/eV/cell: 20.88
Total moment, μB/atom: 0.00

=====

(3)
DFT (PBE) results for an optimized crystal structure of SmCd7Ag5.

Cell and atoms, written as POSCAR:
```
SmCd7Ag5
1.0
5.636 0.000 0.000
2.818 6.997 -0.028
2.818 -0.051 6.997
Cd Ag Sm
7 5 1
direct
0.658 0.342 0.342
0.996 0.659 0.349
0.996 0.349 0.659
0.501 0.796 0.202
0.347 0.653 0.653
0.283 0.217 0.217
0.501 0.202 0.796
0.999 0.502 0.000
0.498 0.502 0.000
0.716 0.784 0.784
0.999 0.000 0.502
0.498 0.000 0.502
0.006 0.994 0.994
```

E, eV/atom: -2.079
Volume, Å³/atom: 21.2
DOS at the Fermi energy, states/eV/cell: 6.99
Total moment, μB/atom: 0.00

=====

(4)
DFT (PBE) results for an optimized crystal structure of SmCd10Ag2.

Cell and atoms, written as POSCAR:
```
SmCd10Ag2
1.0
-5.297 -2.328 -0.117
-1.051 -4.496 -6.051
-0.296 -6.702 3.648
Cd Ag Sm
10 2 1
direct
0.504 0.784 0.209
0.651 0.356 0.342
0.007 0.644 0.342
0.496 0.216 0.791
0.712 0.784 0.791
0.993 0.356 0.658
0.000 0.000 0.500
0.349 0.644 0.658
0.288 0.216 0.209
0.500 0.000 0.500
0.500 0.500 0.000
0.000 0.500 0.000
0.000 0.000 0.000
```

E, eV/atom: -1.622
Volume, Å³/atom: 22.1
DOS at the Fermi energy, states/eV/cell: 5.81
Total moment, μB/atom: 0.00